This record from Alexandria via LeMat-Bulk describes Hg3Bi5I12 after structural relaxation. The functional is PBE.

Geometry as CIF:
```
data_Hg3Bi5I12
_cell_length_a 20.793
_cell_length_b 20.793
_cell_length_c 20.793
_cell_angle_alpha 90.00
_cell_angle_beta 90.00
_cell_angle_gamma 90.00
_space_group_name_H-M_alt 'I a -3 d'
_space_group_IT_number 230
_space_group_name_Hall '-I 4bd 2c 3'
loop_
_atom_site_label
_atom_site_fract_x
_atom_site_fract_y
_atom_site_fract_z
Hg1 0.000 0.250 0.125
Bi1 0.000 0.000 0.000
Bi2 0.000 0.250 0.375
I1 0.038 0.044 0.641
```

* formation energy without anion corrections: -0.168 eV/atom


This record from Alexandria via LeMat-Bulk describes Hg2Bi2I after structural relaxation. The functional is PBE.

Geometry as CIF:
```
data_Hg2Bi2I
_cell_length_a 4.667
_cell_length_b 4.667
_cell_length_c 14.752
_cell_angle_alpha 90.00
_cell_angle_beta 90.00
_cell_angle_gamma 90.00
_space_group_name_H-M_alt 'I 4/m m m'
_space_group_IT_number 139
_space_group_name_Hall '-I 4 2'
loop_
_atom_site_label
_atom_site_fract_x
_atom_site_fract_y
_atom_site_fract_z
Hg1 0.000 0.500 0.250
Bi1 0.000 0.000 0.112
I1 0.000 0.000 0.500
```

* relative energy among the computed polymorphs: 57 meV per atom
* formation energy without anion corrections: 0.119 eV/atom


This record from Alexandria via LeMat-Bulk describes Hg6Bi2I after structural relaxation. The functional is PBE.

Geometry as CIF:
```
data_Hg6Bi2I
_cell_length_a 14.957
_cell_length_b 11.618
_cell_length_c 10.141
_cell_angle_alpha 90.00
_cell_angle_beta 132.64
_cell_angle_gamma 90.00
_space_group_name_H-M_alt 'C 1 2/c 1'
_space_group_IT_number 15
loop_
_space_group_symop_operation_xyz
'x,y,z'
'-x,-y,-z'
'-x,y,-z+1/2'
'x,-y,z+1/2'
'x+1/2,y+1/2,z'
'-x+1/2,-y+1/2,-z'
'-x+1/2,y+1/2,-z+1/2'
'x+1/2,-y+1/2,z+1/2'
loop_
_atom_site_label
_atom_site_fract_x
_atom_site_fract_y
_atom_site_fract_z
Hg1 0.074 0.037 0.212
Hg2 0.074 0.463 0.435
Hg3 0.250 0.229 0.768
Bi1 0.250 0.015 0.171
I1 0.000 0.250 0.750
```

* formation energy without anion corrections: 0.020 eV/atom


This record from Alexandria via LeMat-Bulk describes Hg7BiI4 after structural relaxation. The functional is PBE.

Geometry as CIF:
```
data_Hg7BiI4
_cell_length_a 10.969
_cell_length_b 6.108
_cell_length_c 15.861
_cell_angle_alpha 90.00
_cell_angle_beta 105.48
_cell_angle_gamma 90.00
_space_group_name_H-M_alt 'C 1 2/m 1'
_space_group_IT_number 12
loop_
_space_group_symop_operation_xyz
'x,y,z'
'-x,-y,-z'
'-x,y,-z'
'x,-y,z'
'x+1/2,y+1/2,z'
'-x+1/2,-y+1/2,-z'
'-x+1/2,y+1/2,-z'
'x+1/2,-y+1/2,z'
loop_
_atom_site_label
_atom_site_fract_x
_atom_site_fract_y
_atom_site_fract_z
Hg1 0.000 0.000 0.000
Hg2 0.124 0.500 0.527
Hg3 0.217 0.000 0.698
Hg4 0.222 0.000 0.896
Bi1 0.000 0.500 0.000
I1 0.075 0.500 0.826
I2 0.121 0.000 0.401
```

* formation energy without anion corrections: -0.131 eV/atom


This record from Alexandria via LeMat-Bulk describes Hg2BiI8 after structural relaxation. The functional is PBE.

Geometry as CIF:
```
data_Hg2BiI8
_cell_length_a 12.516
_cell_length_b 12.626
_cell_length_c 7.461
_cell_angle_alpha 90.00
_cell_angle_beta 102.34
_cell_angle_gamma 90.00
_space_group_name_H-M_alt 'C 1 2/m 1'
_space_group_IT_number 12
loop_
_space_group_symop_operation_xyz
'x,y,z'
'-x,-y,-z'
'-x,y,-z'
'x,-y,z'
'x+1/2,y+1/2,z'
'-x+1/2,-y+1/2,-z'
'-x+1/2,y+1/2,-z'
'x+1/2,-y+1/2,z'
loop_
_atom_site_label
_atom_site_fract_x
_atom_site_fract_y
_atom_site_fract_z
Hg1 0.214 0.000 0.171
Bi1 0.000 0.000 0.500
I1 0.053 0.500 0.717
I2 0.100 0.174 0.290
I3 0.223 0.000 0.788
```

* formation energy without anion corrections: -0.257 eV/atom


This record from Alexandria via LeMat-Bulk describes Hg6BiI3 after structural relaxation. The functional is PBE.

Geometry as CIF:
```
data_Hg6BiI3
_cell_length_a 18.1491
_cell_length_b 18.1491
_cell_length_c 5.4378
_cell_angle_alpha 90.00
_cell_angle_beta 90.00
_cell_angle_gamma 120.00
_space_group_name_H-M_alt 'R 3 m'
_space_group_IT_number 160
_space_group_name_Hall 'R 3 -2"'
loop_
_atom_site_label
_atom_site_fract_x
_atom_site_fract_y
_atom_site_fract_z
Hg1 0.0395 0.5198 0.0000
Hg2 0.0926 0.1852 0.8451
Bi1 0.0000 0.0000 0.5823
I1 0.1634 0.0817 0.3104
```

* formation energy without anion corrections: -0.091 eV/atom


This record from Alexandria via LeMat-Bulk describes HgBiI2 after structural relaxation. The functional is PBE.

Geometry as CIF:
```
data_HgBiI2
_cell_length_a 8.057
_cell_length_b 8.057
_cell_length_c 8.057
_cell_angle_alpha 90.00
_cell_angle_beta 90.00
_cell_angle_gamma 90.00
_space_group_name_H-M_alt 'F m -3 m'
_space_group_IT_number 225
_space_group_name_Hall '-F 4 2 3'
loop_
_atom_site_label
_atom_site_fract_x
_atom_site_fract_y
_atom_site_fract_z
Hg1 0.000 0.000 0.000
Bi1 0.000 0.000 0.500
I1 0.250 0.250 0.250
```

* relative energy among the computed polymorphs: 276 meV per atom
* formation energy without anion corrections: 0.095 eV/atom


This record from Alexandria via LeMat-Bulk describes Hg2BiI2 after structural relaxation. The functional is PBE.

Geometry as CIF:
```
data_Hg2BiI2
_cell_length_a 9.391
_cell_length_b 9.391
_cell_length_c 4.084
_cell_angle_alpha 90.00
_cell_angle_beta 90.00
_cell_angle_gamma 90.00
_space_group_name_H-M_alt 'P 4/m b m'
_space_group_IT_number 127
_space_group_name_Hall '-P 4 2ab'
loop_
_atom_site_label
_atom_site_fract_x
_atom_site_fract_y
_atom_site_fract_z
Hg1 0.105 0.395 0.000
Bi1 0.000 0.000 0.500
I1 0.215 0.715 0.500
```

* relative energy among the computed polymorphs: 356 meV per atom
* formation energy without anion corrections: 0.129 eV/atom


no.,size of the total moment (μB per cell),theoretical density (kg/m3),VASP energy (eV/f.u.)
1,0.000,4684,-42.27
2,0.000,9777,-9.32
3,0.000,8958,-10.94
4,0.000,6878,-13.77
5,1.829,4687,-19.72
6,0.000,5759,-11.25
7,0.000,8426,-6.90
8,0.000,7966,-6.94